# 1
VASP calculation (GGA-PBEsol) on CdCuP2 after structural relaxation.

Properties
- calculated volume (Å³/cell) = 65.3
- electronic total energy (eV/cell) = -15.7
- calculated formation energy (eV per formula unit) = 1.38

a b c (Å): 2.682 2.682 9.227
angles (deg): 90.00 90.00 100.31
Element x y z (fractional)
P 0.000 0.000 0.190
P 0.000 0.000 0.810
Cu 0.500 0.500 0.000
Cd 0.500 0.500 0.500

---

# 2
VASP calculation (GGA-PBEsol) on CdCu2P after structural relaxation.

Properties
- calculated volume (Å³/cell) = 56.5
- electronic total energy (eV/cell) = -15.1
- calculated formation energy (eV per formula unit) = 0.57
- polymorph energy (0 for the lowest one) (eV/atom) = 0.023

a b c (Å): 3.100 3.100 5.878
angles (deg): 90.00 90.00 90.00
Element x y z (fractional)
Cd 0.500 0.500 0.500
Cu 0.000 0.000 0.211
Cu 0.000 0.000 0.789
P 0.500 0.500 0.000

---

# 3
VASP calculation (GGA-PBEsol) on CdCuP2Rh after structural relaxation.

Properties
- calculated volume (Å³/cell) = 87.0
- electronic total energy (eV/cell) = -21.8
- calculated formation energy (eV per formula unit) = 3.43

a b c (Å): 4.281 4.281 4.745
angles (deg): 90.00 90.00 90.00
Element x y z (fractional)
Rh 0.000 0.000 0.500
P 0.500 0.000 0.000
P 0.000 0.500 0.000
Cd 0.500 0.500 0.500
Cu 0.000 0.000 0.000

---

# 4
VASP calculation (GGA-PBEsol) on CdCuPb2 after structural relaxation.

Properties
- calculated volume (Å³/cell) = 94.0
- electronic total energy (eV/cell) = -12.1
- calculated formation energy (eV per formula unit) = 1.39

a b c (Å): 5.103 5.103 5.103
angles (deg): 60.00 60.00 60.00
Element x y z (fractional)
Pb 0.750 0.750 0.750
Pb 0.000 0.000 0.000
Cd 0.500 0.500 0.500
Cu 0.250 0.250 0.250